[1]
The following is a DFT calculation (PBE) of a relaxed SmBN2 crystal.

Summary:
- V (Å³ per cell) = 62
- D(E_F) (states/eV per cell) = 0.0
- E_form (uncorrected) (eV per atom) = -1.300

a = 3.7592 Å, b = 3.7592 Å, c = 5.4861 Å
α = 69.96°, β = 69.96°, γ = 60.00°
Positions (direct):
B 0.0000 0.0000 0.0000
Sm 0.5000 0.5000 0.5000
N 0.0888 0.0888 0.7335
N 0.9112 0.9112 0.2665

=====

[2]
The following is a DFT calculation (PBE) of a relaxed Ta2GaHgIr crystal.

Summary:
- V (Å³ per cell) = 115
- D(E_F) (states/eV per cell) = 5.1
- DFT formation energy (eV/atom) = 2.073

a = 5.0539 Å, b = 4.5048 Å, c = 5.0539 Å
α = 90.00°, β = 90.00°, γ = 90.00°
Positions (direct):
Ir 0.5000 0.5000 0.5000
Hg 0.0000 0.0000 0.0000
Ga 0.0000 0.5000 0.0000
Ta 0.0000 0.0000 0.5000
Ta 0.5000 0.0000 0.0000